A relaxed Tb6Zn5Cd crystal, computed with PBE-GGA.

The formation energy from the elements comes out at -0.3269 eV/atom. The volume is 566 Å³ per cell. Its density of states at the Fermi level is 30.912 states/eV per cell.

The structure belongs to space group Cmmm (No. 65); the cell edges are 5.093, 15.290 and 7.274 Å and the angles 90.00°, 90.00° and 90.00°. The inequivalent atoms are Tb at (0.000, 0.000, 0.240), Tb at (0.000, 0.330, 0.245), Zn at (0.000, 0.165, 0.500), Zn at (0.000, 0.166, 0.000), Zn at (0.000, 0.500, 0.000) and Cd at (0.000, 0.500, 0.500).